Entry 1:
DFT (GGA-PBE) results for AcLaTbHg after structural relaxation.

a b c (Å): 8.046 8.046 8.046
angles (deg): 90.00 90.00 90.00
Fractional positions:
Ac 0.000 0.000 0.000
Ac 0.000 0.500 0.500
Ac 0.500 0.000 0.500
Ac 0.500 0.500 0.000
La 0.250 0.250 0.750
La 0.250 0.750 0.250
La 0.750 0.250 0.250
La 0.750 0.750 0.750
Tb 0.250 0.250 0.250
Tb 0.250 0.750 0.750
Tb 0.750 0.250 0.750
Tb 0.750 0.750 0.250
Hg 0.000 0.000 0.500
Hg 0.000 0.500 0.000
Hg 0.500 0.000 0.000
Hg 0.500 0.500 0.500

- Space group: F-43m
- Distance to the lowest polymorph of the same formula: 0.92 eV/f.u.
- ΔH_f (0 K): 2 meV/atom

Entry 2:
DFT (GGA-PBE) results for AcNd2ReN4 after structural relaxation.

a b c (Å): 6.415 6.415 12.308
angles (deg): 90.00 90.00 147.31
Fractional positions:
Ac 0.083 0.917 0.750
Ac 0.917 0.083 0.250
Nd 0.369 0.631 0.542
Nd 0.369 0.631 0.958
Nd 0.631 0.369 0.042
Nd 0.631 0.369 0.458
Re 0.173 0.827 0.250
Re 0.827 0.173 0.750
N 0.000 0.000 0.000
N 0.000 0.000 0.500
N 0.264 0.736 0.124
N 0.264 0.736 0.376
N 0.412 0.588 0.750
N 0.588 0.412 0.250
N 0.736 0.264 0.624
N 0.736 0.264 0.876

- Space group: Cmcm

Entry 3:
DFT (GGA-PBE) results for ZnReTc2S after structural relaxation.

a b c (Å): 4.828 4.828 4.441
angles (deg): 90.00 90.00 90.00
Fractional positions:
Zn 0.000 0.000 0.000
Re 0.500 0.500 0.500
Tc 0.000 0.500 0.500
Tc 0.500 0.000 0.500
S 0.500 0.500 0.000

- Space group: P4/mmm

Entry 4:
DFT (GGA-PBE) results for PO after structural relaxation.

a b c (Å): 2.814 2.814 7.844
angles (deg): 90.00 90.00 90.00
Fractional positions:
P 0.000 0.000 0.000
P 0.500 0.500 0.500
O 0.000 0.000 0.809
O 0.500 0.500 0.309

- Space group: I4mm
- Distance to the lowest polymorph of the same formula: 0.88 eV/f.u.

Entry 5:
DFT (GGA-PBE) results for KSrZr2 after structural relaxation.

a b c (Å): 3.219 3.219 12.489
angles (deg): 90.00 90.00 90.00
Fractional positions:
K 0.000 0.000 0.000
Sr 0.000 0.000 0.500
Zr 0.500 0.500 0.274
Zr 0.500 0.500 0.726

- Space group: P4/mmm
- Distance to the lowest polymorph of the same formula: 1.78 eV/f.u.
- ΔH_f (0 K): 852 meV/atom

Entry 6:
DFT (GGA-PBE) results for Fe2Se2I after structural relaxation.

a b c (Å): 3.609 3.609 18.384
angles (deg): 90.00 90.00 90.00
Fractional positions:
Fe 0.000 0.500 0.250
Fe 0.000 0.500 0.750
Fe 0.500 0.000 0.250
Fe 0.500 0.000 0.750
Se 0.000 0.000 0.172
Se 0.000 0.000 0.828
Se 0.500 0.500 0.328
Se 0.500 0.500 0.672
I 0.000 0.000 0.500
I 0.500 0.500 0.000

- Space group: I4/mmm

Entry 7:
DFT (GGA-PBE) results for LiTbAs after structural relaxation.

a b c (Å): 4.869 4.869 14.055
angles (deg): 90.00 90.00 120.00
Fractional positions:
Li 0.000 0.000 0.000
Li 0.000 0.000 0.250
Li 0.000 0.000 0.500
Li 0.000 0.000 0.750
Tb 0.333 0.667 0.103
Tb 0.333 0.667 0.397
Tb 0.667 0.333 0.603
Tb 0.667 0.333 0.897
As 0.333 0.667 0.608
As 0.333 0.667 0.892
As 0.667 0.333 0.108
As 0.667 0.333 0.392

- Space group: P6_3/mmc
- Distance to the lowest polymorph of the same formula: 1.03 eV/f.u.
- ΔH_f (0 K): -625 meV/atom

Entry 8:
DFT (GGA-PBE) results for HfTlI2O after structural relaxation.

a b c (Å): 6.015 6.015 4.004
angles (deg): 90.00 90.00 90.00
Fractional positions:
Hf 0.000 0.000 0.000
Tl 0.500 0.500 0.500
I 0.000 0.500 0.000
I 0.500 0.000 0.000
O 0.000 0.000 0.500

- Space group: P4/mmm
- Distance to the lowest polymorph of the same formula: 0.00 eV/f.u.

Entry 9:
DFT (GGA-PBE) results for Cr2TeSe after structural relaxation.

a b c (Å): 3.984 3.799 11.291
angles (deg): 90.00 90.00 90.00
Fractional positions:
Cr 0.000 0.000 0.000
Cr 0.000 0.500 0.500
Cr 0.500 0.000 0.245
Cr 0.500 0.500 0.745
Te 0.500 0.000 0.497
Te 0.500 0.500 0.997
Se 0.000 0.000 0.772
Se 0.000 0.500 0.272

- Space group: Amm2
- Distance to the lowest polymorph of the same formula: 0.67 eV/f.u.

Entry 10:
DFT (GGA-PBE) results for Er2BBr after structural relaxation.

a b c (Å): 3.846 3.846 21.053
angles (deg): 90.00 90.00 120.00
Fractional positions:
Er 0.000 0.000 0.228
Er 0.000 0.000 0.772
Er 0.333 0.667 0.439
Er 0.333 0.667 0.895
Er 0.667 0.333 0.105
Er 0.667 0.333 0.561
B 0.000 0.000 0.500
B 0.333 0.667 0.167
B 0.667 0.333 0.833
Br 0.000 0.000 0.000
Br 0.333 0.667 0.667
Br 0.667 0.333 0.333

- Space group: R-3m

Entry 11:
DFT (GGA-PBE) results for Tb2In5Cl12 after structural relaxation.

a b c (Å): 9.328 9.328 8.198
angles (deg): 115.12 115.12 62.59
Fractional positions:
Tb 0.246 0.754 0.000
Tb 0.754 0.246 0.000
In 0.000 0.000 0.500
In 0.276 0.276 0.048
In 0.315 0.315 0.482
In 0.685 0.685 0.518
In 0.724 0.724 0.952
Cl 0.088 0.697 0.169
Cl 0.089 0.089 0.212
Cl 0.131 0.497 0.733
Cl 0.303 0.912 0.831
Cl 0.488 0.488 0.186
Cl 0.497 0.131 0.733
Cl 0.503 0.869 0.267
Cl 0.512 0.512 0.814
Cl 0.697 0.088 0.169
Cl 0.869 0.503 0.267
Cl 0.911 0.911 0.788
Cl 0.912 0.303 0.831

- Space group: C2/m

Entry 12:
DFT (GGA-PBE) results for TeP2W after structural relaxation.

a b c (Å): 4.646 4.646 3.113
angles (deg): 90.00 90.00 90.00
Fractional positions:
Te 0.000 0.000 0.000
P 0.000 0.500 0.500
P 0.500 0.000 0.500
W 0.500 0.500 0.000

- Space group: P4/mmm

Across the entries above, VASP energy takes the values -55.8; -132.6; -31.7; -23.3; -16.5; -52.7; -52.3; -26.3; -51.7; -61.9; -71.6; -23.6 eV per cell, respectively.